[1]
## SmZn4Ni2 (PBE-GGA)

Data for SmZn4Ni2 after structural relaxation.

Cell lengths 7.3878, 7.3878, 4.0542 Å; angles 90.00, 90.00, 90.00 degrees
With the nearest neighbours (Å) after each atom.
Space group P4_2/mnm (No. 136)
Symmetry-distinct sites (fractional):
Sm (0.0000, 0.0000, 0.0000) [2 per cell]  6 Ni 2.91-3.08, 4 Zn 3.23
Zn (0.0919, 0.3447, 0.5000) [8 per cell]  3 Ni 2.49-2.50, 6 Zn 2.64-2.77
Ni (0.2218, 0.7782, 0.5000) [4 per cell]  6 Zn 2.49-2.50

Properties
**Magnetization**: 0.00 μB per atom
**N(E_F)**: 6.131 states/eV per cell
**Calculated total energy**: -3.3869 eV/atom
**ΔH_f (0 K)**: -0.3329 eV per atom
**V**: 221.28 Å³ per cell



[2]
## FeCuC6N8 (PBE-GGA)

Data for FeCuC6N8 after structural relaxation.

Cell lengths 10.1915, 10.1915, 10.1915 Å; angles 90.00, 90.00, 90.00 degrees
With the nearest neighbours (Å) after each atom.
Space group Fm-3m (No. 225)
Symmetry-distinct sites (fractional):
Fe (0.0000, 0.0000, 0.0000) [4 per cell]  6 C 1.91
Cu (0.0000, 0.0000, 0.5000) [4 per cell]  6 N 2.02
C (0.0000, 0.0000, 0.1874) [24 per cell]  1 N 1.17
N (0.0000, 0.0000, 0.3021) [24 per cell]  1 C 1.17
N (0.2500, 0.2500, 0.2500) [8 per cell]  12 N 3.64, 12 C 3.66

Properties
**Magnetization**: 0.56 μB per atom
**N(E_F)**: 49.564 states/eV per cell
**Calculated total energy**: -7.2417 eV/atom
**V**: 1058.56 Å³ per cell
**Raw formation energy**: 1.165 eV per atom



[3]
## NpPH (PBE-GGA)

Data for NpPH after structural relaxation.

Cell lengths 3.8681, 3.8681, 5.7514 Å; angles 90.00, 90.00, 90.00 degrees
With the nearest neighbours (Å) after each atom.
Space group P4/nmm (No. 129, origin choice 2)
Symmetry-distinct sites (fractional):
Np (0.2500, 0.2500, 0.2161) [2 per cell]  4 H 2.30
P (0.2500, 0.2500, 0.6917) [2 per cell]  4 H 2.62, 5 Np 2.74-2.79
H (0.2500, 0.7500, 0.0000) [2 per cell]  4 Np 2.30

Properties
**Magnetization**: 1.02 μB per atom
**Energy above the most stable polymorph in this dataset**: 0 meV per atom
**N(E_F)**: 11.434 states/eV per cell
**Calculated total energy**: -7.8306 eV/atom
**V**: 86.05 Å³ per cell



[4]
## PmScAgHg (PBE-GGA)

Data for PmScAgHg after structural relaxation.

Cell lengths 3.5408, 3.5408, 7.5603 Å; angles 90.00, 90.00, 90.00 degrees
With the nearest neighbours (Å) after each atom.
Space group P4mm (No. 99)
Symmetry-distinct sites (fractional):
Pm (0.0000, 0.0000, 0.0000) [1 per cell]  4 Ag 3.27, 4 Hg 3.31, 4 Pm 3.54, 1 Sc 3.66
Sc (0.0000, 0.0000, 0.4843) [1 per cell]  4 Ag 2.95, 4 Hg 3.04
Ag (0.5000, 0.5000, 0.2790) [1 per cell]  4 Sc 2.95, 4 Pm 3.27, 1 Hg 3.28
Hg (0.5000, 0.5000, 0.7129) [1 per cell]  4 Sc 3.04, 1 Ag 3.28, 4 Pm 3.31

Properties
**Magnetization**: 0.06 μB per atom
**Energy above the most stable polymorph in this dataset**: 0 meV per atom
**N(E_F)**: 4.782 states/eV per cell
**Calculated total energy**: -3.9045 eV/atom
**ΔH_f (0 K)**: -0.3457 eV per atom
**V**: 94.79 Å³ per cell



[5]
## Li2AgGe (PBE-GGA)

Data for Li2AgGe after structural relaxation.

Cell lengths 2.9584, 2.9584, 26.2059 Å; angles 90.00, 90.00, 120.00 degrees
With the nearest neighbours (Å) after each atom.
Space group R3m (No. 160, hexagonal axes)
Symmetry-distinct sites (fractional):
Li (0.0000, 0.0000, 0.0000) [3 per cell]  3 Ge 2.72, 3 Ag 2.84, 6 Li 2.96
Li (0.0000, 0.0000, 0.1609) [3 per cell]  3 Ge 2.71, 3 Ag 2.83, 6 Li 2.96
Ag (0.0000, 0.0000, 0.5801) [3 per cell]  6 Li 2.83-2.84, 6 Ag 2.96
Ge (0.0000, 0.0000, 0.4139) [3 per cell]  6 Li 2.71-2.72, 6 Ge 2.96

Properties
**Magnetization**: 0.00 μB per atom
**N(E_F)**: 8.791 states/eV per cell
**Calculated total energy**: -2.9875 eV/atom
**ΔH_f (0 K)**: -0.1634 eV per atom
**V**: 198.63 Å³ per cell



[6]
## BC3 (PBE-GGA)

Data for BC3 after structural relaxation.

Cell lengths 8.6948, 2.5078, 7.6216 Å; angles 90.00, 116.45, 90.00 degrees
With the nearest neighbours (Å) after each atom.
Space group Cm (No. 8)
Symmetry-distinct sites (fractional):
B (0.0000, 0.0000, 0.0000) [2 per cell]  4 C 1.64-1.69
B (0.0056, 0.5000, 0.3636) [2 per cell]  4 C 1.63-1.68
B (0.1725, 0.0000, 0.6917) [2 per cell]  4 C 1.59-1.68
C (0.0027, 0.5000, 0.8521) [2 per cell]  2 C 1.50-1.53
C (0.1684, 0.5000, 0.8372) [2 per cell]  2 C 1.50-1.54
C (0.1774, 0.0000, 0.2111) [2 per cell]  3 C 1.52-1.56, 1 B 1.66
C (0.1769, 0.5000, 0.3246) [2 per cell]  3 C 1.52-1.60, 1 B 1.64
C (0.3261, 0.0000, 0.1499) [2 per cell]  3 C 1.53-1.56, 1 B 1.68
C (0.3280, 0.5000, 0.0366) [2 per cell]  3 C 1.53-1.54, 1 B 1.64
C (0.3410, 0.5000, 0.5336) [2 per cell]  4 C 1.51-1.60
C (0.3423, 0.0000, 0.6553) [2 per cell]  3 C 1.53-1.56, 1 B 1.62
C (0.4976, 0.5000, 0.4958) [2 per cell]  1 C 1.51, 3 B 1.59-1.63

Properties
**Magnetization**: 0.00 μB per atom
**Energy above the most stable polymorph in this dataset**: 42 meV per atom
**N(E_F)**: 2.403 states/eV per cell
**Calculated total energy**: -8.3051 eV/atom
**ΔH_f (0 K)**: 0.2822 eV per atom
**V**: 148.79 Å³ per cell



[7]
## Pr3Sm2Y6Sc (PBE-GGA)

Data for Pr3Sm2Y6Sc after structural relaxation.

Cell lengths 6.2268, 10.7851, 11.8654 Å; angles 90.00, 100.06, 90.00 degrees
With the nearest neighbours (Å) after each atom.
Space group C2/m (No. 12)
Symmetry-distinct sites (fractional):
Pr (0.0000, 0.0000, 0.0000) [2 per cell]  6 Pr 3.59-3.60, 6 Y 3.63
Pr (0.0000, 0.3333, 0.0000) [4 per cell]  6 Pr 3.59-3.60, 6 Y 3.62-3.64
Sm (0.0000, 0.1662, 0.5000) [4 per cell]  6 Y 3.54, 3 Sm 3.58-3.60, 3 Sc 3.59-3.60
Y (0.2462, 0.3348, 0.7451) [8 per cell]  1 Sc 3.52, 2 Sm 3.54, 6 Y 3.56-3.61, 3 Pr 3.62-3.64
Y (0.2493, 0.5000, 0.2545) [4 per cell]  1 Sc 3.53, 2 Sm 3.54, 6 Y 3.56-3.61, 3 Pr 3.62-3.63
Sc (0.0000, 0.5000, 0.5000) [2 per cell]  6 Y 3.52-3.53, 6 Sm 3.59-3.60

Properties
**Magnetization**: 0.00 μB per atom
**N(E_F)**: 33.153 states/eV per cell
**Calculated total energy**: -5.7141 eV/atom
**ΔH_f (0 K)**: 0.0270 eV per atom
**V**: 784.60 Å³ per cell



[8]
## LaScSi2Os (PBE-GGA)

Data for LaScSi2Os after structural relaxation.

Cell lengths 4.1340, 4.1340, 11.3311 Å; angles 90.00, 90.00, 90.00 degrees
With the nearest neighbours (Å) after each atom.
Space group I-4m2 (No. 119)
Symmetry-distinct sites (fractional):
La (0.0000, 0.0000, 0.0000) [2 per cell]  8 Si 3.17, 4 Os 3.51, 4 Sc 3.51
Sc (0.0000, 0.5000, 0.7500) [2 per cell]  4 Si 2.61, 4 Os 2.92
Si (0.0000, 0.0000, 0.3909) [4 per cell]  1 Si 2.47, 2 Os 2.61, 2 Sc 2.61
Os (0.0000, 0.5000, 0.2500) [2 per cell]  4 Si 2.61, 4 Sc 2.92

Properties
**Magnetization**: 0.00 μB per atom
**N(E_F)**: 6.632 states/eV per cell
**Calculated total energy**: -7.3568 eV/atom
**V**: 193.65 Å³ per cell
**Raw formation energy**: -0.690 eV per atom



[9]
## ScPd4Au2 (PBE-GGA)

Data for ScPd4Au2 after structural relaxation.

Cell lengths 5.5232, 6.7985, 7.4074 Å; angles 64.21, 69.53, 74.93 degrees
With the nearest neighbours (Å) after each atom.
Space group P1 (No. 1)
Symmetry-distinct sites (fractional):
Sc (0.0000, 0.0000, 0.0000) [1 per cell]  9 Pd 2.79-2.91, 3 Au 2.86-2.97
Sc (0.1948, 0.7718, 0.5469) [1 per cell]  8 Pd 2.73-2.95, 4 Au 2.86-2.99
Pd (0.0445, 0.1845, 0.2554) [1 per cell]  2 Sc 2.79-2.83, 7 Pd 2.81-2.92, 3 Au 2.88-2.89
Pd (0.2738, 0.1385, 0.5705) [1 per cell]  2 Sc 2.73-2.84, 5 Pd 2.86-2.89, 5 Au 2.87-2.91
Pd (0.3220, 0.3342, 0.8311) [1 per cell]  6 Pd 2.81-2.89, 2 Sc 2.82-2.88, 4 Au 2.85-2.90
Pd (0.4183, 0.7098, 0.8589) [1 per cell]  3 Au 2.79-2.86, 2 Sc 2.81-2.84, 7 Pd 2.82-2.90
Pd (0.4702, 0.9052, 0.1168) [1 per cell]  6 Pd 2.81-2.89, 3 Au 2.83-2.87, 3 Sc 2.85-2.91
Pd (0.5713, 0.2773, 0.1384) [1 per cell]  1 Sc 2.81, 8 Pd 2.81-2.92, 3 Au 2.82-2.87
Pd (0.7108, 0.8586, 0.4251) [1 per cell]  3 Sc 2.81-2.95, 5 Pd 2.82-2.89, 4 Au 2.83-2.89
Pd (0.9039, 0.6240, 0.9661) [1 per cell]  2 Sc 2.81-2.87, 6 Pd 2.82-2.92, 4 Au 2.83-2.89
Au (0.1413, 0.5676, 0.2797) [1 per cell]  7 Pd 2.79-2.89, 3 Au 2.86-2.89, 2 Sc 2.86-2.99
Au (0.6136, 0.4785, 0.3945) [1 per cell]  7 Pd 2.83-2.91, 4 Au 2.86-2.94, 1 Sc 2.89
Au (0.7470, 0.0472, 0.6865) [1 per cell]  8 Pd 2.83-2.88, 2 Sc 2.86-2.97, 2 Au 2.88-2.91
Au (0.8495, 0.4317, 0.7133) [1 per cell]  7 Pd 2.82-2.90, 3 Au 2.89-2.94, 2 Sc 2.89-2.94

Properties
**Magnetization**: 0.00 μB per atom
**Energy above the most stable polymorph in this dataset**: 0 meV per atom
**N(E_F)**: 5.502 states/eV per cell
**Calculated total energy**: -5.2996 eV/atom
**ΔH_f (0 K)**: -0.4914 eV per atom
**V**: 232.70 Å³ per cell



[10]
## PrDy14Ho (PBE-GGA)

Data for PrDy14Ho after structural relaxation.

Cell lengths 11.4775, 7.1308, 12.3522 Å; angles 90.00, 90.00, 90.00 degrees
With the nearest neighbours (Å) after each atom.
Space group Amm2 (No. 38)
Symmetry-distinct sites (fractional):
Pr (0.0000, 0.0000, 0.0000) [2 per cell]  10 Dy 3.55-3.57, 2 Ho 3.57
Dy (0.0000, 0.2502, 0.2500) [4 per cell]  8 Dy 3.53-3.57, 2 Pr 3.56-3.57, 2 Ho 3.57
Dy (0.2499, 0.0000, 0.3333) [4 per cell]  1 Ho 3.53, 11 Dy 3.53-3.57
Dy (0.2521, 0.0000, 0.8329) [4 per cell]  11 Dy 3.51-3.57, 1 Pr 3.55
Dy (0.2518, 0.2505, 0.0833) [8 per cell]  10 Dy 3.51-3.57, 1 Ho 3.55, 1 Pr 3.55
Dy (0.5000, 0.0000, 0.1667) [2 per cell]  12 Dy 3.52-3.57
Dy (0.5000, 0.0000, 0.6664) [2 per cell]  12 Dy 3.51-3.57
Dy (0.5000, 0.2497, 0.4164) [4 per cell]  12 Dy 3.51-3.57
Ho (0.0000, 0.0000, 0.4999) [2 per cell]  10 Dy 3.53-3.57, 2 Pr 3.57

Properties
**Magnetization**: 0.00 μB per atom
**N(E_F)**: 37.409 states/eV per cell
**Calculated total energy**: -4.6077 eV/atom
**ΔH_f (0 K)**: 0.0040 eV per atom
**V**: 1010.95 Å³ per cell



[11]
## Sr3Tb3AgSe8 (PBE-GGA)

Data for Sr3Tb3AgSe8 after structural relaxation.

Cell lengths 8.4191, 8.4191, 21.1729 Å; angles 90.00, 90.00, 120.00 degrees
With the nearest neighbours (Å) after each atom.
Space group R-3m (No. 166, hexagonal axes)
Symmetry-distinct sites (fractional):
Sr (0.0000, 0.5000, 0.0000) [9 per cell]  6 Se 3.08-3.12
Tb (0.0000, 0.5000, 0.5000) [9 per cell]  6 Se 2.89-2.93
Ag (0.0000, 0.0000, 0.5000) [3 per cell]  6 Se 2.99
Se (0.0000, 0.0000, 0.2437) [6 per cell]  3 Tb 2.93, 3 Sr 3.08
Se (0.0110, 0.5055, 0.7570) [18 per cell]  2 Tb 2.89, 1 Ag 2.99, 2 Sr 3.12

Properties
**Magnetization**: 0.00 μB per atom
**N(E_F)**: 1.629 states/eV per cell
**Calculated total energy**: -5.0055 eV/atom
**V**: 1299.67 Å³ per cell
**Raw formation energy**: -1.695 eV per atom



[12]
## AcTe5 (PBE-GGA)

Data for AcTe5 after structural relaxation.

Cell lengths 4.6062, 19.1177, 4.5527 Å; angles 90.00, 90.00, 90.00 degrees
With the nearest neighbours (Å) after each atom.
Space group Cmmm (No. 65)
Symmetry-distinct sites (fractional):
Ac (0.0000, 0.0000, 0.0000) [2 per cell]  4 Te 3.24
Te (0.0000, 0.1512, 0.5000) [4 per cell]  4 Te 3.24
Te (0.0000, 0.3482, 0.0000) [4 per cell]  4 Te 3.24
Te (0.0000, 0.5000, 0.5000) [2 per cell]  4 Ac 3.24

Properties
**Magnetization**: 0.00 μB per atom
**N(E_F)**: 11.467 states/eV per cell
**Calculated total energy**: -3.8091 eV/atom
**V**: 400.91 Å³ per cell
**Raw formation energy**: -0.506 eV per atom